# Si2AgW

Crystalline Si2AgW at its relaxed geometry (PBE, Alexandria via LeMat-Bulk).

Cell lengths 2.9205, 2.9205, 25.1566 Å; angles 90.00, 90.00, 120.00 degrees
Closest atoms and distances in Å follow each position.
Space group R3m (No. 160, hexagonal axes)
Inequivalent atoms, fractional coordinates:
Si 0.0000 0.0000 0.0000 x3  3 Si 2.49, 3 Ag 2.70
Si 0.0000 0.0000 0.2604 x3  3 Si 2.49, 3 W 2.62
Ag 0.0000 0.0000 0.7507 x3  3 Si 2.70, 6 Ag 2.92, 3 W 2.95
W 0.0000 0.0000 0.5138 x3  3 Si 2.62, 6 W 2.92

Values from the calculation:
- formation energy from raw total energies (eV/atom) = 0.394
- polymorph energy (0 for the lowest one) (kcal/mol of atoms) = 4.172
- total DFT energy (no corrections) (eV/f.u.) = -25.076
- calculated volume (Å³ per atom) = 15.49



# CdRePt2

Crystalline CdRePt2 at its relaxed geometry (PBE, Alexandria via LeMat-Bulk).

Cell lengths 9.4119, 2.7890, 5.0245 Å; angles 90.00, 98.43, 90.00 degrees
Closest atoms and distances in Å follow each position.
Space group Cm (No. 8)
Inequivalent atoms, fractional coordinates:
Cd 0.0000 0.0000 0.0000 x2  7 Pt 2.70-2.92, 2 Cd 2.79, 1 Re 2.97
Re 0.2566 0.5000 0.3148 x2  7 Pt 2.69-2.99, 2 Re 2.79, 1 Cd 2.97
Pt 0.2468 0.0000 0.7852 x2  3 Cd 2.70-2.83, 4 Re 2.76-2.99, 5 Pt 2.79-2.96
Pt 0.4967 0.0000 0.4890 x2  3 Re 2.69-2.72, 5 Pt 2.79-2.96, 4 Cd 2.83-2.92

Values from the calculation:
- total DFT energy (no corrections) (eV/f.u.) = -25.361
- energy of formation from the pure elements (meV per atom) = 21
- calculated volume (Å³ per atom) = 16.31



# ScAgOs2

Crystalline ScAgOs2 at its relaxed geometry (PBE, Alexandria via LeMat-Bulk).

Cell lengths 3.3104, 3.3104, 5.9755 Å; angles 90.00, 90.00, 90.00 degrees
Closest atoms and distances in Å follow each position.
Space group P4/mmm (No. 123)
Inequivalent atoms, fractional coordinates:
Sc 0.0000 0.0000 0.0000 x1  8 Os 2.73, 2 Ag 2.99
Ag 0.0000 0.0000 0.5000 x1  8 Os 2.82, 2 Sc 2.99
Os 0.5000 0.5000 0.2360 x2  4 Sc 2.73, 1 Os 2.82, 4 Ag 2.82

Values from the calculation:
- polymorph energy (0 for the lowest one) (kcal/mol of atoms) = 10.001
- total DFT energy (no corrections) (eV/f.u.) = -29.613
- energy of formation from the pure elements (meV per atom) = 507
- calculated volume (Å³ per atom) = 16.37



# Y3Tm2Cd3

Crystalline Y3Tm2Cd3 at its relaxed geometry (PBE, Alexandria via LeMat-Bulk).

Cell lengths 3.7120, 5.3336, 22.1255 Å; angles 90.00, 90.00, 90.00 degrees
Closest atoms and distances in Å follow each position.
Space group Immm (No. 71)
Inequivalent atoms, fractional coordinates:
Y 0.0000 0.0000 0.0000 x2  8 Cd 3.21-3.25
Y 0.0000 0.5000 0.1240 x4  6 Cd 3.25-3.31, 2 Tm 3.61
Tm 0.0000 0.0000 0.2338 x4  2 Cd 3.16, 4 Tm 3.33
Cd 0.0000 0.0000 0.5000 x2  8 Y 3.25-3.31
Cd 0.0000 0.5000 0.3817 x4  2 Tm 3.16, 6 Y 3.21-3.25

Values from the calculation:
- total DFT energy (no corrections) (eV/f.u.) = -33.148
- energy of formation from the pure elements (meV per atom) = -258
- calculated volume (Å³ per atom) = 27.38



| no. | total magnetic moment (μB/f.u.) |
| --- | --- |
| 1 | 0.00 |
| 2 | 0.01 |
| 3 | 0.00 |
| 4 | 0.00 |